No. 1
{"formula": "SnRh6", "functional": "PBE", "state": "optimized geometry", "delta_e_f_ev_per_fu": 5.960, "total_energy_ev_per_atom": -6.022, "lattice": [[5.854, 0.000, 0.000], [-1.951, 5.519, 0.000], [-1.951, -2.760, 4.780]], "species": ["Sn", "Rh", "Rh", "Rh", "Rh", "Rh", "Rh"], "fractional_positions": [[0.000, 0.000, 0.000], [0.250, 0.750, 0.500], [0.500, 0.750, 0.250], [0.250, 0.500, 0.750], [0.750, 0.250, 0.500], [0.500, 0.250, 0.750], [0.750, 0.500, 0.250]]}


No. 2
{"formula": "KRb4Br5", "functional": "PBE", "state": "optimized geometry", "formation_energy_uncorrected_ev_per_atom": -1.7460, "total_energy_ev_per_atom": -3.079, "lattice": [[4.916, 0.000, 0.000], [0.000, 4.916, 0.000], [-2.458, -2.458, 17.349]], "species": ["K", "Rb", "Rb", "Rb", "Rb", "Br", "Br", "Br", "Br", "Br"], "fractional_positions": [[0.000, 0.000, 0.000], [0.401, 0.401, 0.802], [0.801, 0.801, 0.601], [0.199, 0.199, 0.399], [0.599, 0.599, 0.198], [0.097, 0.097, 0.194], [0.500, 0.500, 0.000], [0.903, 0.903, 0.806], [0.300, 0.300, 0.601], [0.700, 0.700, 0.399]]}